VASP calculation (PBE with a Hubbard U) on TaCoIO2 after structural relaxation.

Summary:
Its energy above the most stable polymorph in this dataset is 0.000 eV per formula unit. The value obtained for the final energy is -6.78 eV/atom. Its density of states at the Fermi level is 1.332 states/eV per cell. The total moment is 0.3880 μB/atom.

a b c (Å): 3.921 3.921 6.146
angles (deg): 90.00 90.00 90.00
Fractional coordinates of all 5 atoms:
1 Ta 0.000 0.000 0.000
2 Co 0.500 0.500 0.500
3 I 0.000 0.000 0.500
4 O 0.000 0.500 0.000
5 O 0.500 0.000 0.000